{
  "formula": "Ca2In8Bi",
  "functional": "PBE",
  "state": "optimized geometry",
  "lattice_angstrom": [[-0.750, 4.482, -1.364], [-4.407, -0.206, 1.747], [4.672, 4.530, 12.319]],
  "species": ["In", "In", "In", "Ca", "In", "In", "In", "Ca", "In", "Bi", "In"],
  "fractional_positions": [[0.500, 0.000, 0.838], [0.500, 0.500, 0.332], [0.000, 0.500, 0.500], [0.000, 0.000, 0.669], [0.500, 0.000, 0.500], [0.000, 0.500, 0.162], [0.500, 0.500, 0.668], [0.000, 0.000, 0.331], [0.500, 0.000, 0.162], [0.000, 0.000, 0.000], [0.000, 0.500, 0.838]],
  "ef_ev_per_atom": -0.193,
  "total_energy_ev_per_atom": -2.90
}

***

{
  "formula": "Er2Ni5Pt5",
  "functional": "PBE",
  "state": "optimized geometry",
  "lattice_angstrom": [[4.269, 0.000, 0.000], [0.000, 5.016, 0.000], [0.000, 0.000, 8.956]],
  "species": ["Pt", "Er", "Er", "Ni", "Ni", "Ni", "Pt", "Ni", "Ni", "Pt", "Pt", "Pt"],
  "fractional_positions": [[0.500, 0.000, 0.000], [0.000, 0.500, 0.000], [0.000, 0.000, 0.500], [0.500, 0.251, 0.742], [0.500, 0.500, 0.500], [0.500, 0.749, 0.258], [0.000, 0.000, 0.821], [0.500, 0.749, 0.742], [0.500, 0.251, 0.258], [0.000, 0.500, 0.335], [0.000, 0.000, 0.179], [0.000, 0.500, 0.665]],
  "ef_ev_per_atom": -0.583,
  "total_energy_ev_per_atom": -6.27
}

***

Number 1: total moment 0.000 μB per cell. Number 2: total moment 2.201 μB per cell.